Entry 1:
## LaMgTe2I (GGA-PBE)

Data for a relaxed LaMgTe2I crystal.

Calculated values
DFT total energy = -3.618 eV/atom
Polymorph energy (0 for the lowest one) = 0 meV/atom
V = 33.6 A^3/atom

abc: 5.584 5.584 5.382
angles: 90.00 90.00 90.00
Positions (direct):
I1 0.000 0.000 0.500
Mg1 0.000 0.000 0.000
Te1 0.000 0.500 0.000
Te2 0.500 0.000 0.000
La1 0.500 0.500 0.500

Entry 2:
## LaMgTeI2 (GGA-PBE)

Data for a relaxed LaMgTeI2 crystal.

Calculated values
DFT total energy = -3.248 eV/atom
Polymorph energy (0 for the lowest one) = 0 meV/atom
V = 48.9 A^3/atom

abc: 6.238 6.238 6.278
angles: 90.00 90.00 90.00
Positions (direct):
I1 0.000 0.500 0.000
I2 0.500 0.000 0.000
Mg1 0.500 0.500 0.500
Te1 0.000 0.000 0.500
La1 0.000 0.000 0.000

| no. | formation energy without anion corrections (eV per atom) |
| --- | --- |
| 1 | -0.75 |
| 2 | -0.70 |